HfHRh3: relaxed, GGA-PBE.

Results
- size of the total moment (μB per atom) = 0.000
- total energy (eV/atom) = -7.407
- symmetry = P2_1/m, No. 11
- excess energy over the best structure of this formula in the dataset (meV/atom) = 354

Geometry as POSCAR:
```
HfHRh3
1.0
5.346 0.000 0.823
0.000 8.541 0.000
0.375 0.000 2.950
Rh Hf H
6 2 2
Direct
0.758 0.478 0.871
0.553 0.750 0.474
0.242 0.522 0.129
0.447 0.250 0.526
0.242 0.978 0.129
0.758 0.022 0.871
0.997 0.250 0.250
0.003 0.750 0.750
0.340 0.750 0.081
0.660 0.250 0.919
```